# 1
# ZrCr2Se PBE-GGA relaxed
data_ZrCr2Se
_cell_length_a 3.240
_cell_length_b 3.240
_cell_length_c 6.358
_cell_angle_alpha 90.00
_cell_angle_beta 90.00
_cell_angle_gamma 90.00
_space_group_name_H-M_alt 'P 1'
_space_group_IT_number 1
_space_group_name_Hall 'P 1'
loop_
_atom_site_label
_atom_site_type_symbol
_atom_site_fract_x
_atom_site_fract_y
_atom_site_fract_z
Zr1 Zr 0.500 0.500 0.747
Cr1 Cr 0.000 0.000 0.048
Cr2 Cr 0.500 0.500 0.225
Se1 Se 0.000 0.000 0.480
# Final energy = -7.913 eV/atom
# Uncorrected formation energy = -0.37 eV/f.u.
# Crystal system = tetragonal

---

# 2
# Cd3Bi3Pb PBE-GGA relaxed
data_Cd3Bi3Pb
_cell_length_a 8.197
_cell_length_b 8.197
_cell_length_c 8.197
_cell_angle_alpha 90.00
_cell_angle_beta 90.00
_cell_angle_gamma 90.00
_space_group_name_H-M_alt 'P 1'
_space_group_IT_number 1
_space_group_name_Hall 'P 1'
loop_
_atom_site_label
_atom_site_type_symbol
_atom_site_fract_x
_atom_site_fract_y
_atom_site_fract_z
Pb1 Pb 0.000 0.000 0.000
Pb2 Pb 0.500 0.500 0.500
Cd1 Cd 0.500 0.250 0.000
Cd2 Cd 0.500 0.750 0.000
Cd3 Cd 0.750 0.000 0.500
Cd4 Cd 0.000 0.500 0.750
Cd5 Cd 0.250 0.000 0.500
Cd6 Cd 0.000 0.500 0.250
Bi1 Bi 0.000 0.250 0.500
Bi2 Bi 0.500 0.000 0.750
Bi3 Bi 0.000 0.750 0.500
Bi4 Bi 0.250 0.500 0.000
Bi5 Bi 0.750 0.500 0.000
Bi6 Bi 0.500 0.000 0.250
# Final energy = -2.176 eV/atom
# Crystal system = cubic

---

> The highest final energy belongs to which entry?

Cd3Bi3Pb

---

> The highest final energy belongs to which entry?

Cd3Bi3Pb

---

> Which value of final energy does entry 2 give?

-2.176 eV/atom